# Pm2SmScS4

An optimized crystal structure of Pm2SmScS4 (GGA-PBE, Alexandria). Values from VASP.

```
&SYSTEM
  ibrav = 0, nat = 8, ntyp = 4
/
ATOMIC_SPECIES
Pm 145.00 Pm.upf
Sm 150.36 Sm.upf
Sc 44.96 Sc.upf
S 32.06 S.upf
CELL_PARAMETERS angstrom
6.847 0.000 0.000
0.000 3.906 0.000
-2.235 0.000 6.517
ATOMIC_POSITIONS crystal
Pm 0.000 0.000 0.000
Pm 0.500 0.500 0.000
Sm 0.000 0.500 0.500
Sc 0.500 0.000 0.500
S 0.258 0.000 0.739
S 0.268 0.500 0.270
S 0.732 0.500 0.730
S 0.742 0.000 0.261
```

Summary:
DOS(E_F): 0.60 states/eV/atom
Formation energy (no corrections): -1.960 eV per atom